[1]
Density functional theory data (PBE) for an optimized crystal structure of K2LiNbCl6.

Results
V: 24.7 A^3/atom
ΔE to the lowest computed polymorph: 8 meV per atom

```
data_K2LiNbCl6
_chemical_formula_sum 'K8 Li4 Nb4 Cl24'
_space_group_name_H-M_alt 'F m -3 m'
_space_group_IT_number 225
_space_group_name_Hall '-F 4 2 3'
_cell_length_a 9.961
_cell_length_b 9.961
_cell_length_c 9.961
_cell_angle_alpha 90.00
_cell_angle_beta 90.00
_cell_angle_gamma 90.00
loop_
_atom_site_label
_atom_site_fract_x
_atom_site_fract_y
_atom_site_fract_z
K1 0.250 0.250 0.250
Li1 0.000 0.000 0.000
Nb1 0.000 0.000 0.500
Cl1 0.000 0.000 0.251
```



[2]
Density functional theory data (PBE) for an optimized crystal structure of NbRe6Mo.

Results
V: 15.4 A^3/atom
DFT formation energy: 0.134 eV/atom

```
data_NbRe6Mo
_chemical_formula_sum 'Nb1 Re6 Mo1'
_space_group_name_H-M_alt 'P 4/m m m'
_space_group_IT_number 123
_space_group_name_Hall '-P 4 2'
_cell_length_a 4.430
_cell_length_b 4.430
_cell_length_c 6.276
_cell_angle_alpha 90.00
_cell_angle_beta 90.00
_cell_angle_gamma 90.00
loop_
_atom_site_label
_atom_site_fract_x
_atom_site_fract_y
_atom_site_fract_z
Nb1 0.000 0.000 0.000
Re1 0.000 0.000 0.500
Re2 0.000 0.500 0.252
Re3 0.500 0.500 0.000
Mo1 0.500 0.500 0.500
```



[3]
Density functional theory data (PBE) for an optimized crystal structure of HfAs2Au2.

Results
V: 18.8 A^3/atom
ΔE to the lowest computed polymorph: 0 meV per atom

```
data_HfAs2Au2
_chemical_formula_sum 'Hf2 As4 Au4'
_space_group_name_H-M_alt 'I 4/m m m'
_space_group_IT_number 139
_space_group_name_Hall '-I 4 2'
_cell_length_a 3.867
_cell_length_b 3.867
_cell_length_c 12.596
_cell_angle_alpha 90.00
_cell_angle_beta 90.00
_cell_angle_gamma 90.00
loop_
_atom_site_label
_atom_site_fract_x
_atom_site_fract_y
_atom_site_fract_z
Hf1 0.000 0.000 0.000
As1 0.000 0.000 0.402
Au1 0.000 0.500 0.250
```



[4]
Density functional theory data (PBE) for an optimized crystal structure of NdDyPb.

Results
V: 34.1 A^3/atom
DFT total energy: -4.5849 eV per atom

```
data_NdDyPb
_chemical_formula_sum 'Nd4 Dy4 Pb4'
_space_group_name_H-M_alt 'F -4 3 m'
_space_group_IT_number 216
_space_group_name_Hall 'F -4 2 3'
_cell_length_a 7.427
_cell_length_b 7.427
_cell_length_c 7.427
_cell_angle_alpha 90.00
_cell_angle_beta 90.00
_cell_angle_gamma 90.00
loop_
_atom_site_label
_atom_site_fract_x
_atom_site_fract_y
_atom_site_fract_z
Nd1 0.000 0.000 0.000
Dy1 0.000 0.000 0.500
Pb1 0.250 0.250 0.750
```



[5]
Density functional theory data (PBE) for an optimized crystal structure of DyUGe.

Results
V: 27.3 A^3/atom
ΔE to the lowest computed polymorph: 0 meV per atom

```
data_DyUGe
_chemical_formula_sum 'Dy4 U4 Ge4'
_space_group_name_H-M_alt 'F -4 3 m'
_space_group_IT_number 216
_space_group_name_Hall 'F -4 2 3'
_cell_length_a 6.892
_cell_length_b 6.892
_cell_length_c 6.892
_cell_angle_alpha 90.00
_cell_angle_beta 90.00
_cell_angle_gamma 90.00
loop_
_atom_site_label
_atom_site_fract_x
_atom_site_fract_y
_atom_site_fract_z
Dy1 0.000 0.000 0.000
U1 0.000 0.000 0.500
Ge1 0.250 0.250 0.250
```



[6]
Density functional theory data (PBE) for an optimized crystal structure of GdCuSnSe2S.

Results
V: 22.8 A^3/atom
DFT total energy: -4.8918 eV per atom

```
data_GdCuSnSe2S
_chemical_formula_sum 'Gd4 Cu4 Sn4 Se8 S4'
_space_group_name_H-M_alt 'C m c m'
_space_group_IT_number 63
_space_group_name_Hall '-C 2c 2'
_cell_length_a 3.962
_cell_length_b 13.494
_cell_length_c 10.252
_cell_angle_alpha 90.00
_cell_angle_beta 90.00
_cell_angle_gamma 90.00
loop_
_atom_site_label
_atom_site_fract_x
_atom_site_fract_y
_atom_site_fract_z
Gd1 0.000 0.000 0.000
Cu1 0.000 0.474 0.250
Sn1 0.000 0.253 0.750
Se1 0.000 0.353 0.068
S1 0.000 0.074 0.250
```



[7]
Density functional theory data (PBE) for an optimized crystal structure of HoSiTc4Ge.

Results
V: 16.8 A^3/atom
DFT total energy: -8.4615 eV per atom

```
data_HoSiTc4Ge
_chemical_formula_sum 'Ho2 Si2 Tc8 Ge2'
_space_group_name_H-M_alt 'A m m 2'
_space_group_IT_number 38
_cell_length_a 4.071
_cell_length_b 4.102
_cell_length_c 14.052
_cell_angle_alpha 90.00
_cell_angle_beta 90.00
_cell_angle_gamma 90.00
loop_
_space_group_symop_operation_xyz
'x,y,z'
'-x,-y,z'
'-x,y,z'
'x,-y,z'
'x,y+1/2,z+1/2'
'-x,-y+1/2,z+1/2'
'-x,y+1/2,z+1/2'
'x,-y+1/2,z+1/2'
loop_
_atom_site_label
_atom_site_fract_x
_atom_site_fract_y
_atom_site_fract_z
Ho1 0.000 0.000 0.000
Si1 0.500 0.000 0.413
Tc1 0.000 0.000 0.311
Tc2 0.000 0.000 0.702
Tc3 0.500 0.000 0.195
Tc4 0.500 0.000 0.817
Ge1 0.500 0.000 0.587
```



[8]
Density functional theory data (PBE) for an optimized crystal structure of Ag2PdCl6.

Results
V: 24.8 A^3/atom
DFT total energy: -2.8659 eV per atom

```
data_Ag2PdCl6
_chemical_formula_sum 'Ag4 Pd2 Cl12'
_space_group_name_H-M_alt 'P 1 21/c 1'
_space_group_IT_number 14
_cell_length_a 6.666
_cell_length_b 6.116
_cell_length_c 12.814
_cell_angle_alpha 90.00
_cell_angle_beta 121.33
_cell_angle_gamma 90.00
loop_
_space_group_symop_operation_xyz
'x,y,z'
'-x,-y,-z'
'-x,y+1/2,-z+1/2'
'x,-y+1/2,z+1/2'
loop_
_atom_site_label
_atom_site_fract_x
_atom_site_fract_y
_atom_site_fract_z
Ag1 0.185 0.001 0.186
Pd1 0.500 0.000 0.000
Cl1 0.200 0.726 0.347
Cl2 0.205 0.212 0.999
Cl3 0.492 0.222 0.845
```



[9]
Density functional theory data (PBE) for an optimized crystal structure of LuScAgAu.

Results
V: 19.7 A^3/atom
DFT formation energy: -0.363 eV/atom
ΔE to the lowest computed polymorph: 227 meV per atom

```
data_LuScAgAu
_chemical_formula_sum 'Lu4 Sc4 Ag4 Au4'
_space_group_name_H-M_alt 'F -4 3 m'
_space_group_IT_number 216
_space_group_name_Hall 'F -4 2 3'
_cell_length_a 6.803
_cell_length_b 6.803
_cell_length_c 6.803
_cell_angle_alpha 90.00
_cell_angle_beta 90.00
_cell_angle_gamma 90.00
loop_
_atom_site_label
_atom_site_fract_x
_atom_site_fract_y
_atom_site_fract_z
Lu1 0.000 0.000 0.000
Sc1 0.250 0.250 0.250
Ag1 0.000 0.000 0.500
Au1 0.250 0.250 0.750
```



[10]
Density functional theory data (PBE) for an optimized crystal structure of Rb3NaBi2Au2.

Results
V: 37.5 A^3/atom
DFT total energy: -2.7439 eV per atom

```
data_Rb3NaBi2Au2
_chemical_formula_sum 'Rb3 Na1 Bi2 Au2'
_space_group_name_H-M_alt 'P 1 m 1'
_space_group_IT_number 6
_cell_length_a 6.580
_cell_length_b 6.864
_cell_length_c 6.975
_cell_angle_alpha 90.00
_cell_angle_beta 107.97
_cell_angle_gamma 90.00
loop_
_space_group_symop_operation_xyz
'x,y,z'
'x,-y,z'
loop_
_atom_site_label
_atom_site_fract_x
_atom_site_fract_y
_atom_site_fract_z
Rb1 0.000 0.000 0.000
Rb2 0.018 0.500 0.295
Rb3 0.657 0.500 0.619
Na1 0.363 0.000 0.680
Bi1 0.242 0.500 0.859
Bi2 0.754 0.000 0.431
Au1 0.512 0.241 0.124
```



[11]
Density functional theory data (PBE) for an optimized crystal structure of KDyO3.

Results
V: 17.8 A^3/atom
DFT total energy: -5.9632 eV per atom

```
data_KDyO3
_chemical_formula_sum 'K6 Dy6 O18'
_space_group_name_H-M_alt 'R -3'
_space_group_IT_number 148
_space_group_name_Hall '-R 3'
_cell_length_a 6.3898
_cell_length_b 6.3898
_cell_length_c 15.0815
_cell_angle_alpha 90.00
_cell_angle_beta 90.00
_cell_angle_gamma 120.00
loop_
_atom_site_label
_atom_site_fract_x
_atom_site_fract_y
_atom_site_fract_z
K1 0.0000 0.0000 0.1208
Dy1 0.0000 0.0000 0.3511
O1 0.0248 0.5982 0.9283
```



[12]
Density functional theory data (PBE) for an optimized crystal structure of Hf2CdTe2.

Results
V: 27.9 A^3/atom
DFT total energy: -5.5469 eV per atom

```
data_Hf2CdTe2
_chemical_formula_sum 'Hf4 Cd2 Te4'
_space_group_name_H-M_alt 'I 4/m m m'
_space_group_IT_number 139
_space_group_name_Hall '-I 4 2'
_cell_length_a 4.440
_cell_length_b 4.440
_cell_length_c 14.158
_cell_angle_alpha 90.00
_cell_angle_beta 90.00
_cell_angle_gamma 90.00
loop_
_atom_site_label
_atom_site_fract_x
_atom_site_fract_y
_atom_site_fract_z
Hf1 0.000 0.500 0.250
Cd1 0.000 0.000 0.000
Te1 0.000 0.000 0.382
```